# 1
In2FeAg | meta-GGA SCAN | single point on PBEsol structure

Values from the calculation:
**Mass density**: 9.438 g cm⁻³
**ΔH_f (0 K)**: 0.218 eV per atom
**Energy above the most stable polymorph in this dataset**: 0 kJ/mol of formula units
**Symmetry**: No. 123
**M_tot**: 2.47 Bohr magnetons per cell

a = 3.579 Å, b = 4.398 Å, c = 4.398 Å
α = 90.00°, β = 90.00°, γ = 90.00°
Positions (direct):
In: 0.000 0.500 0.000
In: 0.000 0.000 0.500
Fe: 0.500 0.000 0.000
Ag: 0.500 0.500 0.500

---

# 2
Tl2CoMo | meta-GGA SCAN | single point on PBEsol structure

Values from the calculation:
**Mass density**: 13.265 g cm⁻³
**ΔH_f (0 K)**: 0.826 eV per atom
**Energy above the most stable polymorph in this dataset**: 95 kJ/mol of formula units
**Symmetry**: No. 119
**M_tot**: 2.92 Bohr magnetons per cell

a = 3.959 Å, b = 3.959 Å, c = 5.300 Å
α = 111.93°, β = 111.93°, γ = 90.00°
Positions (direct):
Co: 0.500 0.500 0.000
Mo: 0.250 0.750 0.500
Tl: 0.750 0.250 0.500
Tl: 0.000 0.000 0.000

---

# 3
Ag2PtAu | meta-GGA SCAN | single point on PBEsol structure

Values from the calculation:
**Mass density**: 15.686 g cm⁻³
**ΔH_f (0 K)**: -0.017 eV per atom
**Energy above the most stable polymorph in this dataset**: 14 kJ/mol of formula units
**Symmetry**: No. 160
**M_tot**: 0.00 Bohr magnetons per cell

a = 2.803 Å, b = 2.803 Å, c = 9.590 Å
α = 81.60°, β = 81.60°, γ = 60.00°
Positions (direct):
Ag: 0.999 0.999 0.002
Ag: 0.749 0.749 0.752
Pt: 0.251 0.251 0.247
Au: 0.500 0.500 0.499

---

# 4
Rb2Cu2Au | meta-GGA SCAN | single point on PBEsol structure

Values from the calculation:
**Mass density**: 6.519 g cm⁻³
**ΔH_f (0 K)**: 0.164 eV per atom
**Symmetry**: No. 139
**M_tot**: 0.00 Bohr magnetons per cell

a = 3.485 Å, b = 3.485 Å, c = 10.670 Å
α = 99.40°, β = 99.40°, γ = 90.00°
Positions (direct):
Rb: 0.390 0.390 0.779
Rb: 0.610 0.610 0.221
Au: 0.000 0.000 0.000
Cu: 0.250 0.750 0.500
Cu: 0.750 0.250 0.500

---

# 5
Mn5Si2 | meta-GGA SCAN | single point on PBEsol structure

Values from the calculation:
**Mass density**: 7.139 g cm⁻³
**Symmetry**: No. 92
**M_tot**: 36.91 Bohr magnetons per cell
**Formation energy from raw total energies**: -0.33 eV/atom

a = 8.376 Å, b = 8.573 Å, c = 8.573 Å
α = 90.00°, β = 90.00°, γ = 90.00°
Positions (direct):
Mn: 0.819 0.505 0.100
Mn: 0.350 0.778 0.824
Mn: 0.000 0.545 0.545
Mn: 0.172 0.817 0.577
Mn: 0.966 0.958 0.133
Mn: 0.534 0.867 0.042
Mn: 0.100 0.324 0.722
Mn: 0.500 0.455 0.455
Mn: 0.672 0.183 0.423
Mn: 0.900 0.722 0.324
Mn: 0.319 0.495 0.900
Mn: 0.750 0.368 0.632
Mn: 0.328 0.423 0.183
Mn: 0.716 0.633 0.542
Mn: 0.922 0.077 0.683
Mn: 0.181 0.100 0.505
Mn: 0.000 0.868 0.868
Mn: 0.784 0.458 0.367
Mn: 0.422 0.923 0.317
Mn: 0.466 0.042 0.867
Mn: 0.150 0.176 0.222
Mn: 0.078 0.683 0.077
Mn: 0.600 0.676 0.278
Mn: 0.828 0.577 0.817
Mn: 0.284 0.542 0.633
Mn: 0.216 0.367 0.458
Mn: 0.250 0.632 0.368
Mn: 0.931 0.005 0.400
Mn: 0.431 0.995 0.600
Mn: 0.750 0.045 0.955
Mn: 0.069 0.400 0.005
Mn: 0.578 0.317 0.923
Mn: 0.500 0.132 0.132
Mn: 0.850 0.222 0.176
Mn: 0.250 0.955 0.045
Mn: 0.681 0.900 0.495
Mn: 0.400 0.278 0.676
Mn: 0.569 0.600 0.995
Mn: 0.650 0.824 0.778
Mn: 0.034 0.133 0.958
Si: 0.047 0.465 0.264
Si: 0.453 0.736 0.535
Si: 0.547 0.535 0.736
Si: 0.904 0.802 0.622
Si: 0.203 0.035 0.764
Si: 0.404 0.198 0.378
Si: 0.346 0.698 0.122
Si: 0.297 0.236 0.965
Si: 0.654 0.122 0.698
Si: 0.703 0.965 0.236
Si: 0.096 0.622 0.802
Si: 0.846 0.302 0.878
Si: 0.953 0.264 0.465
Si: 0.154 0.878 0.302
Si: 0.596 0.378 0.198
Si: 0.797 0.764 0.035

---

# 6
TaMo | meta-GGA SCAN | single point on PBEsol structure

Values from the calculation:
**Mass density**: 14.103 g cm⁻³
**ΔH_f (0 K)**: -0.140 eV per atom
**Symmetry**: No. 8
**M_tot**: 0.00 Bohr magnetons per cell

a = 4.499 Å, b = 5.295 Å, c = 5.298 Å
α = 63.34°, β = 64.90°, γ = 64.92°
Positions (direct):
Ta: 0.667 0.993 0.674
Ta: 0.329 0.508 0.833
Ta: 0.338 0.999 0.325
Mo: 0.003 0.498 0.496
Mo: 0.666 0.495 0.172
Mo: 0.997 0.006 0.000

---

# 7
CaMg2Pt | meta-GGA SCAN | single point on PBEsol structure

Values from the calculation:
**Mass density**: 5.694 g cm⁻³
**ΔH_f (0 K)**: -0.269 eV per atom
**Symmetry**: No. 12
**M_tot**: 0.00 Bohr magnetons per cell

a = 3.055 Å, b = 5.171 Å, c = 6.006 Å
α = 114.46°, β = 103.10°, γ = 93.68°
Positions (direct):
Mg: 0.000 0.000 0.500
Mg: 0.500 0.500 0.500
Ca: 0.000 0.500 0.000
Pt: 0.500 0.000 0.000

---

# 8
Ta2MoPt | meta-GGA SCAN | single point on PBEsol structure

Values from the calculation:
**Mass density**: 16.651 g cm⁻³
**ΔH_f (0 K)**: -0.461 eV per atom
**Symmetry**: No. 123
**M_tot**: 0.00 Bohr magnetons per cell

a = 3.394 Å, b = 4.380 Å, c = 4.380 Å
α = 90.00°, β = 90.00°, γ = 90.00°
Positions (direct):
Ta: 0.000 0.500 0.000
Ta: 0.000 0.000 0.500
Pt: 0.500 0.000 0.000
Mo: 0.500 0.500 0.500

---

# 9
KBaSe2N | meta-GGA SCAN | single point on PBEsol structure

Values from the calculation:
**Mass density**: 3.691 g cm⁻³
**Symmetry**: No. 123
**M_tot**: 4.01 Bohr magnetons per cell
**Formation energy from raw total energies**: 0.03 eV/atom

a = 4.853 Å, b = 5.683 Å, c = 5.683 Å
α = 90.00°, β = 90.00°, γ = 90.00°
Positions (direct):
K: 0.000 0.000 0.000
Ba: 0.500 0.500 0.500
Se: 0.000 0.000 0.500
Se: 0.000 0.500 0.000
N: 0.500 0.000 0.000

---

# 10
AlAgO2 | meta-GGA SCAN | single point on PBEsol structure

Values from the calculation:
**Mass density**: 6.500 g cm⁻³
**Symmetry**: No. 160
**M_tot**: 0.00 Bohr magnetons per cell
**Formation energy from raw total energies**: -2.14 eV/atom

a = 2.858 Å, b = 2.858 Å, c = 6.247 Å
α = 76.77°, β = 76.77°, γ = 60.00°
Positions (direct):
O: 0.721 0.721 0.838
O: 0.279 0.279 0.162
Al: 0.998 0.998 0.006
Ag: 0.161 0.161 0.518

---

# 11
ZrNbN2 | meta-GGA SCAN | single point on PBEsol structure

Values from the calculation:
**Mass density**: 7.847 g cm⁻³
**Symmetry**: No. 166
**M_tot**: 0.00 Bohr magnetons per cell
**Formation energy from raw total energies**: -1.51 eV/atom

a = 3.178 Å, b = 3.178 Å, c = 5.451 Å
α = 73.05°, β = 73.05°, γ = 60.00°
Positions (direct):
N: 0.750 0.750 0.750
N: 0.250 0.250 0.250
Zr: 0.000 0.000 0.000
Nb: 0.500 0.500 0.500

---

# 12
Y2AsCl | meta-GGA SCAN | single point on PBEsol structure

Values from the calculation:
**Mass density**: 5.625 g cm⁻³
**Symmetry**: No. 123
**M_tot**: 1.44 Bohr magnetons per cell
**Formation energy from raw total energies**: -1.32 eV/atom

a = 3.503 Å, b = 3.503 Å, c = 6.934 Å
α = 90.00°, β = 90.00°, γ = 90.02°
Positions (direct):
Y: 0.000 0.000 0.731
Y: 0.000 0.000 0.269
Cl: 0.500 0.500 0.000
As: 0.500 0.500 0.500

---

# 13
YIn2Ag | meta-GGA SCAN | single point on PBEsol structure

Values from the calculation:
**Mass density**: 7.982 g cm⁻³
**ΔH_f (0 K)**: -0.449 eV per atom
**Symmetry**: No. 123
**M_tot**: 0.00 Bohr magnetons per cell

a = 4.458 Å, b = 4.461 Å, c = 4.461 Å
α = 90.00°, β = 90.00°, γ = 90.00°
Positions (direct):
Y: 0.500 0.500 0.500
Ag: 0.500 0.000 0.000
In: 0.000 0.500 0.000
In: 0.000 0.000 0.500

---

# 14
CaHgSCl2 | meta-GGA SCAN | single point on PBEsol structure

Values from the calculation:
**Mass density**: 4.294 g cm⁻³
**Symmetry**: No. 123
**M_tot**: 0.00 Bohr magnetons per cell
**Formation energy from raw total energies**: -0.91 eV/atom

a = 5.028 Å, b = 5.141 Å, c = 5.141 Å
α = 90.00°, β = 90.00°, γ = 90.00°
Positions (direct):
Cl: 0.000 0.500 0.000
Cl: 0.000 0.000 0.500
Ca: 0.500 0.500 0.500
Hg: 0.000 0.000 0.000
S: 0.500 0.000 0.000

---

# 15
BaHgMo2 | meta-GGA SCAN | single point on PBEsol structure

Values from the calculation:
**Mass density**: 7.758 g cm⁻³
**ΔH_f (0 K)**: 0.863 eV per atom
**Symmetry**: No. 10
**M_tot**: 0.00 Bohr magnetons per cell

a = 4.473 Å, b = 4.958 Å, c = 5.186 Å
α = 90.00°, β = 99.55°, γ = 90.00°
Positions (direct):
Ba: 0.500 0.500 0.000
Mo: 0.274 0.000 0.417
Mo: 0.726 0.000 0.583
Hg: 0.000 0.500 0.500

---

# 16
LiMnF3 | meta-GGA SCAN | single point on PBEsol structure

Values from the calculation:
**Mass density**: 3.502 g cm⁻³
**Energy above the most stable polymorph in this dataset**: 9 kJ/mol of formula units
**Symmetry**: No. 198
**M_tot**: 20.00 Bohr magnetons per cell
**Formation energy from raw total energies**: -2.96 eV/atom

a = 6.086 Å, b = 6.086 Å, c = 6.086 Å
α = 90.00°, β = 90.00°, γ = 90.00°
Positions (direct):
F: 0.492 0.768 0.871
F: 0.268 0.629 0.508
F: 0.008 0.232 0.371
F: 0.232 0.371 0.008
F: 0.371 0.008 0.232
F: 0.129 0.992 0.732
F: 0.629 0.508 0.268
F: 0.768 0.871 0.492
F: 0.871 0.492 0.768
F: 0.732 0.129 0.992
F: 0.508 0.268 0.629
F: 0.992 0.732 0.129
Li: 0.622 0.622 0.622
Li: 0.878 0.378 0.122
Li: 0.122 0.878 0.378
Li: 0.378 0.122 0.878
Mn: 0.663 0.837 0.163
Mn: 0.837 0.163 0.663
Mn: 0.337 0.337 0.337
Mn: 0.163 0.663 0.837

---

# 17
MgIr2BrCl | meta-GGA SCAN | single point on PBEsol structure

Values from the calculation:
**Mass density**: 8.204 g cm⁻³
**Symmetry**: No. 123
**M_tot**: 0.00 Bohr magnetons per cell
**Formation energy from raw total energies**: 1.09 eV/atom

a = 4.293 Å, b = 4.293 Å, c = 5.757 Å
α = 90.00°, β = 90.00°, γ = 90.00°
Positions (direct):
Cl: 0.000 0.000 0.000
Ir: 0.500 0.000 0.000
Ir: 0.000 0.500 0.000
Br: 0.500 0.500 0.500
Mg: 0.000 0.000 0.500

---

# 18
Tl2ReTc | meta-GGA SCAN | single point on PBEsol structure

Values from the calculation:
**Mass density**: 16.373 g cm⁻³
**ΔH_f (0 K)**: 1.231 eV per atom
**Energy above the most stable polymorph in this dataset**: 49 kJ/mol of formula units
**Symmetry**: No. 123
**M_tot**: 2.51 Bohr magnetons per cell

a = 3.270 Å, b = 3.270 Å, c = 6.571 Å
α = 90.00°, β = 90.00°, γ = 90.00°
Positions (direct):
Tc: 0.500 0.500 0.500
Tl: 0.000 0.000 0.252
Tl: 0.000 0.000 0.748
Re: 0.500 0.500 0.000

---

# 19
RePtS3 | meta-GGA SCAN | single point on PBEsol structure

Values from the calculation:
**Mass density**: 8.192 g cm⁻³
**Symmetry**: No. 221
**M_tot**: 3.71 Bohr magnetons per cell
**Formation energy from raw total energies**: 1.37 eV/atom

a = 4.591 Å, b = 4.591 Å, c = 4.591 Å
α = 90.00°, β = 90.00°, γ = 90.00°
Positions (direct):
S: 0.000 0.500 0.000
S: 0.000 0.000 0.500
S: 0.500 0.000 0.000
Pt: 0.000 0.000 0.000
Re: 0.500 0.500 0.500

---

# 20
BaZn2Ni | meta-GGA SCAN | single point on PBEsol structure

Values from the calculation:
**Mass density**: 5.981 g cm⁻³
**ΔH_f (0 K)**: 0.144 eV per atom
**Symmetry**: No. 71
**M_tot**: 0.00 Bohr magnetons per cell

a = 3.997 Å, b = 5.276 Å, c = 5.276 Å
α = 66.07°, β = 67.74°, γ = 67.74°
Positions (direct):
Zn: 0.328 0.672 0.672
Zn: 0.672 0.328 0.328
Ba: 0.500 0.000 0.000
Ni: 0.000 0.500 0.500